DFT (PBE-GGA) results for SrLiUN3 after structural relaxation.

Output
The uncorrected formation energy comes out at -1075 meV/atom. As for the calculated volume: 181.7 Å³ per cell. The symmetry is No. 11.

a b c (Å): 7.072 3.580 7.429
angles (deg): 90.00 104.98 90.00
Positions (direct):
Sr  0.250  0.250  0.210
Sr  0.750  0.750  0.790
Li  0.410  0.750  0.929
Li  0.590  0.250  0.071
U  0.166  0.250  0.677
U  0.834  0.750  0.323
N  0.129  0.750  0.842
N  0.141  0.750  0.460
N  0.457  0.250  0.800
N  0.543  0.750  0.200
N  0.859  0.250  0.540
N  0.871  0.250  0.158